1.
Below is a geometry-optimized La2TcH6 structure, with properties calculated at the PBE-GGA level.

CIF file:
```
data_La2TcH6
_cell_length_a 5.280
_cell_length_b 5.280
_cell_length_c 5.280
_cell_angle_alpha 60.00
_cell_angle_beta 60.00
_cell_angle_gamma 60.00
_symmetry_space_group_name_H-M 'P 1'
_symmetry_Int_Tables_number 1
_symmetry_space_group_name_Hall 'P 1'
loop_
_atom_site_label
_atom_site_type_symbol
_atom_site_fract_x
_atom_site_fract_y
_atom_site_fract_z
H1 H 0.760 0.760 0.240
H2 H 0.240 0.760 0.240
H3 H 0.760 0.240 0.240
H4 H 0.240 0.240 0.760
H5 H 0.760 0.240 0.760
H6 H 0.240 0.760 0.760
La1 La 0.250 0.250 0.250
La2 La 0.750 0.750 0.750
Tc1 Tc 0.000 0.000 0.000
```

Summary:
- density (g cm⁻³) = 6.094
- total energy (eV per cell) = -45.17
- magnetic moment (μB per atom) = 0.00
- space group = No. 225

=====

2.
Below is a geometry-optimized LaTmH4 structure, with properties calculated at the PBE-GGA level.

CIF file:
```
data_LaTmH4
_cell_length_a 3.719
_cell_length_b 3.719
_cell_length_c 5.465
_cell_angle_alpha 90.00
_cell_angle_beta 90.00
_cell_angle_gamma 90.00
_symmetry_space_group_name_H-M 'P 1'
_symmetry_Int_Tables_number 1
_symmetry_space_group_name_Hall 'P 1'
loop_
_atom_site_label
_atom_site_type_symbol
_atom_site_fract_x
_atom_site_fract_y
_atom_site_fract_z
H1 H 0.500 0.000 0.279
H2 H 0.000 0.500 0.279
H3 H 0.500 0.000 0.721
H4 H 0.000 0.500 0.721
La1 La 0.000 0.000 0.000
Tm1 Tm 0.500 0.500 0.500
```

Summary:
- density (g cm⁻³) = 6.853
- total energy (eV per cell) = -26.80
- magnetic moment (μB per atom) = 0.00
- space group = No. 123